# SrCe2HoS4 GGA-PBE optimized geometry
# N(E_F): 1.50 states/eV per atom
# E_form (uncorrected): -192 kJ per mole of atoms
# space group: P2/m (10)
# calculated volume: 188.2 Å³ per cell
data_SrCe2HoS4
_chemical_formula_sum 'Sr1 Ce2 Ho1 S4'
_cell_length_a 4.021
_cell_length_b 7.064
_cell_length_c 7.008
_cell_angle_alpha 70.96
_cell_angle_beta 90.00
_cell_angle_gamma 90.00
_space_group_name_H-M_alt 'P 1'
_space_group_IT_number 1
_space_group_name_Hall 'P 1'
loop_
_atom_site_label
_atom_site_fract_x
_atom_site_fract_y
_atom_site_fract_z
Sr1 0.500 0.500 0.000
Ce1 0.000 0.000 0.000
Ce2 0.500 0.000 0.500
Ho1 0.000 0.500 0.500
S1 0.000 0.750 0.738
S2 0.000 0.250 0.262
S3 0.500 0.742 0.263
S4 0.500 0.258 0.737


# MgCu2Se3 GGA-PBE optimized geometry
# N(E_F): 0.43 states/eV per atom
# E_form (uncorrected): -19 kJ per mole of atoms
# space group: Cmcm (63)
# calculated volume: 311.3 Å³ per cell
data_MgCu2Se3
_chemical_formula_sum 'Mg2 Cu4 Se6'
_cell_length_a 5.730
_cell_length_b 8.392
_cell_length_c 6.886
_cell_angle_alpha 90.00
_cell_angle_beta 90.00
_cell_angle_gamma 109.96
_space_group_name_H-M_alt 'P 1'
_space_group_IT_number 1
_space_group_name_Hall 'P 1'
loop_
_atom_site_label
_atom_site_fract_x
_atom_site_fract_y
_atom_site_fract_z
Mg1 0.000 0.000 0.000
Mg2 0.000 0.000 0.500
Cu1 0.762 0.524 0.985
Cu2 0.238 0.476 0.485
Cu3 0.238 0.476 0.015
Cu4 0.762 0.524 0.515
Se1 0.575 0.653 0.250
Se2 0.078 0.653 0.250
Se3 0.107 0.213 0.250
Se4 0.425 0.347 0.750
Se5 0.922 0.347 0.750
Se6 0.893 0.787 0.750


# CaTcW2 GGA-PBE optimized geometry
# excess energy over the best structure of this formula in the dataset: 9 kJ/mol of formula units
# N(E_F): 1.29 states/eV per atom
# space group: P4mm (99)
# energy relative to the elements: 0.518 eV/atom
# calculated volume: 75.5 Å³ per cell
data_CaTcW2
_chemical_formula_sum 'Ca1 Tc1 W2'
_cell_length_a 3.173
_cell_length_b 3.173
_cell_length_c 7.503
_cell_angle_alpha 90.00
_cell_angle_beta 90.00
_cell_angle_gamma 90.00
_space_group_name_H-M_alt 'P 1'
_space_group_IT_number 1
_space_group_name_Hall 'P 1'
loop_
_atom_site_label
_atom_site_fract_x
_atom_site_fract_y
_atom_site_fract_z
Ca1 0.000 0.000 0.508
Tc1 0.500 0.500 0.804
W1 0.000 0.000 0.992
W2 0.500 0.500 0.196


# Be4WSe GGA-PBE optimized geometry
# N(E_F): 0.62 states/eV per atom
# E_form (uncorrected): 22 kJ per mole of atoms
# space group: F-43m (216)
# calculated volume: 64.3 Å³ per cell
data_Be4WSe
_chemical_formula_sum 'Be4 W1 Se1'
_cell_length_a 4.498
_cell_length_b 4.498
_cell_length_c 4.498
_cell_angle_alpha 60.00
_cell_angle_beta 60.00
_cell_angle_gamma 60.00
_space_group_name_H-M_alt 'P 1'
_space_group_IT_number 1
_space_group_name_Hall 'P 1'
loop_
_atom_site_label
_atom_site_fract_x
_atom_site_fract_y
_atom_site_fract_z
Be1 0.887 0.371 0.371
Be2 0.371 0.371 0.887
Be3 0.371 0.887 0.371
Be4 0.371 0.371 0.371
W1 0.000 0.000 0.000
Se1 0.750 0.750 0.750